LaTbCeAl: optimized geometry, PBE.

Lattice parameters (Å, degrees): 5.458 5.458 5.458 60.00 60.00 60.00
Positions (direct):
Tb 0.500 0.500 0.500
Al 0.000 0.000 0.000
Ce 0.750 0.750 0.750
La 0.250 0.250 0.250

Summary:
The space-group type is F-43m, No. 216. As for the density: 6.7 g cm⁻³. The formation energy is -0.01 eV/f.u. As for the crystal system: cubic.

---

LaCeThAl: optimized geometry, PBE.

Lattice parameters (Å, degrees): 5.415 5.415 5.415 60.00 60.00 60.00
Positions (direct):
Al 0.500 0.500 0.500
Ce 0.000 0.000 0.000
Th 0.750 0.750 0.750
La 0.250 0.250 0.250

Summary:
The space-group type is F-43m, No. 216. As for the density: 8.0 g cm⁻³. The formation energy is 0.10 eV/f.u. As for the crystal system: cubic.

---

LaCeAlZn: optimized geometry, PBE.

Lattice parameters (Å, degrees): 5.260 5.260 5.260 60.00 60.00 60.00
Positions (direct):
Zn 0.000 0.000 0.000
Al 0.500 0.500 0.500
Ce 0.750 0.750 0.750
La 0.250 0.250 0.250

Summary:
The space-group type is F-43m, No. 216. As for the density: 6.0 g cm⁻³. The formation energy is -1.04 eV/f.u. As for the crystal system: cubic.

---

LiCeAl11: optimized geometry, PBE.

Lattice parameters (Å, degrees): 5.377 7.082 6.955 82.10 67.26 69.19
Positions (direct):
Li 0.500 0.500 0.000
Ce 0.000 0.000 0.000
Al 0.286 0.221 0.217
Al 0.714 0.779 0.783
Al 0.498 0.779 0.217
Al 0.502 0.221 0.783
Al 0.353 0.646 0.646
Al 0.647 0.354 0.354
Al 0.001 0.354 0.646
Al 0.999 0.646 0.354
Al 0.000 0.500 0.000
Al 0.500 0.000 0.500
Al 0.000 0.000 0.500

Summary:
The space-group type is C2/m, No. 12. As for the density: 3.2 g cm⁻³. The formation energy is -1.79 eV/f.u. As for the crystal system: monoclinic.

---

LiCeAl: optimized geometry, PBE.

Lattice parameters (Å, degrees): 4.338 4.338 7.288 90.00 90.00 90.00
Positions (direct):
Li 0.000 0.500 0.793
Li 0.500 0.000 0.207
Al 0.500 0.500 0.000
Al 0.000 0.000 0.000
Ce 0.500 0.000 0.668
Ce 0.000 0.500 0.332

Summary:
Its energy above the most stable polymorph in this dataset is 0.1690 eV per atom. The space-group type is P4/nmm, No. 129. As for the density: 4.2 g cm⁻³. The formation energy is 0.08 eV/f.u. As for the crystal system: tetragonal.

---

Li2CeAl10: optimized geometry, PBE.

Lattice parameters (Å, degrees): 5.344 6.919 7.171 81.73 68.12 67.28
Positions (direct):
Li 0.000 0.000 0.500
Li 0.500 0.000 0.500
Ce 0.000 0.000 0.000
Al 0.000 0.353 0.647
Al 0.000 0.647 0.353
Al 0.647 0.353 0.353
Al 0.353 0.647 0.647
Al 0.500 0.500 0.000
Al 0.000 0.500 0.000
Al 0.497 0.781 0.224
Al 0.503 0.219 0.776
Al 0.721 0.781 0.776
Al 0.279 0.219 0.224

Summary:
The space-group type is Fmmm, No. 69. As for the density: 3.1 g cm⁻³. The formation energy is -2.01 eV/f.u. As for the crystal system: orthorhombic.

---

Li2CeAl: optimized geometry, PBE.

Lattice parameters (Å, degrees): 4.830 4.830 4.830 60.00 60.00 60.00
Positions (direct):
Al 0.500 0.500 0.500
Ce 0.000 0.000 0.000
Li 0.250 0.250 0.250
Li 0.750 0.750 0.750

Summary:
The space-group type is Fm-3m, No. 225. As for the density: 3.8 g cm⁻³. The formation energy is -0.29 eV/f.u. As for the crystal system: cubic.

---

LiCeAl: optimized geometry, PBE.

Lattice parameters (Å, degrees): 3.043 4.950 4.950 120.00 90.00 90.00
Positions (direct):
Al 0.165 0.000 0.000
Ce 0.666 0.333 0.667
Li 0.169 0.667 0.333

Summary:
Its energy above the most stable polymorph in this dataset is 0.0000 eV per atom. The space-group type is P3m1, No. 156. As for the density: 4.5 g cm⁻³. The formation energy is -0.43 eV/f.u. As for the crystal system: trigonal.